Entry 1:
VASP calculation (GGA-PBE) on a geometry-optimized Sm7Y2Ho structure.

Computed properties:
Calculated volume   331 Å³/cell
Uncorrected energy   -5.041 eV/atom
Density of states at the Fermi level   12.45 states/eV/f.u.
Spin magnetization   0.000 μB/atom

Unit cell a=6.2290 b=7.2109 c=8.0701 alpha=77.02 beta=75.07 gamma=73.50
With the nearest neighbours (Å) after each atom.
Space group P-1 (No. 2)
Unique sites:
1 Sm 0.0000 0.0000 0.0000 [1 per cell]  8 Sm 3.59-3.61, 2 Y 3.60, 2 Ho 3.61
2 Sm 0.1999 0.7999 0.6004 [2 per cell]  7 Sm 3.59-3.62, 1 Ho 3.60, 4 Y 3.60-3.61
3 Sm 0.3984 0.1011 0.1991 [2 per cell]  9 Sm 3.59-3.61, 1 Ho 3.60, 2 Y 3.62
4 Sm 0.4007 0.5997 0.1991 [2 per cell]  7 Sm 3.59-3.62, 2 Ho 3.60, 3 Y 3.60-3.61
5 Y 0.1998 0.3006 0.6002 [2 per cell]  10 Sm 3.60-3.62, 1 Y 3.61, 1 Ho 3.61
6 Ho 0.0000 0.5000 0.0000 [1 per cell]  10 Sm 3.60-3.61, 2 Y 3.61

***

Entry 2:
VASP calculation (GGA-PBE) on a geometry-optimized RbReTe structure.

Computed properties:
Calculated volume   214 Å³/cell
Uncorrected energy   -5.436 eV/atom
Density of states at the Fermi level   1.87 states/eV/f.u.
Spin magnetization   0.000 μB/atom
Uncorrected formation energy   0.08 eV per atom

Unit cell a=3.9957 b=4.5570 c=11.8122 alpha=84.34 beta=89.50 gamma=90.00
With the nearest neighbours (Å) after each atom.
Space group P-1 (No. 2)
Unique sites:
1 Rb 0.2418 0.3019 0.3102 [2 per cell]  4 Te 3.61, 1 Re 3.84, 2 Rb 4.00
2 Re 0.2499 0.6596 0.0018 [2 per cell]  2 Re 2.47, 1 Te 2.70
3 Te 0.2538 0.1563 0.8566 [2 per cell]  4 Re 2.70-3.00

***

Quick rundown of distance to the lowest polymorph of the same formula, same order as above: 0, 0 kJ/mol of formula units